w.
First-principles (PBE-GGA) data for a relaxed ZnPW2 crystal, as listed in the Alexandria database.

Calculated values
- Mass density: 12.0 g/cm³
- Space-group type: I-42d, No. 122

a = 3.756 Å, b = 3.756 Å, c = 9.510 Å
α = 78.61°, β = 78.61°, γ = 90.00°
Sites, in units of the cell vectors:
Zn1 0.750 0.250 0.500
Zn2 0.000 0.000 0.000
P1 0.500 0.500 0.000
P2 0.250 0.750 0.500
W1 0.375 0.369 0.750
W2 0.875 0.881 0.750
W3 0.119 0.625 0.250
W4 0.631 0.125 0.250


x.
First-principles (PBE-GGA) data for a relaxed ZnPW2 crystal, as listed in the Alexandria database.

Calculated values
- Mass density: 12.7 g/cm³
- Space-group type: Cmmm, No. 65

a = 2.829 Å, b = 2.829 Å, c = 8.110 Å
α = 90.00°, β = 90.00°, γ = 111.40°
Sites, in units of the cell vectors:
P1 0.500 0.500 0.000
W1 0.000 0.000 0.226
W2 0.000 0.000 0.774
Zn1 0.500 0.500 0.500


The winner here is x, beating the second structure by 0.190 eV/atom.